A relaxed LaHoZn2 crystal. Source: the Alexandria database, functional PBE-GGA.

Calculated values
calculated volume	24.40	Å³/atom
theoretical density	7.396	g/cm³
Fermi-level density of states	4.585	states/eV/f.u.
uncorrected energy	-13.34	eV for the cell shown
total moment	0.00	μB/cell

a = 3.6167 Å, b = 3.6167 Å, c = 7.4601 Å
α = 90.00°, β = 90.00°, γ = 90.00°
Fractional positions:
La 0.0000 0.0000 0.0000
Ho 0.0000 0.0000 0.5000
Zn 0.5000 0.5000 0.2782
Zn 0.5000 0.5000 0.7218